Density functional theory data (GGA-PBE) for a relaxed Na3Hg2Pb4 crystal.

Results
Space-group type   P-1
D(E_F)   2.95 states/eV/f.u.
Formation energy from the elements   -121 meV per atom
Relative energy among the computed polymorphs   11 meV/atom
Electronic total energy   -2.2759 eV/atom

a = 5.4912 Å, b = 6.4132 Å, c = 9.3359 Å
α = 61.01°, β = 72.19°, γ = 64.45°
Fractional positions:
1 Hg 0.2106 0.9230 0.6706
2 Hg 0.7894 0.0770 0.3294
3 Na 0.4148 0.8075 0.3491
4 Pb 0.8820 0.5710 0.6747
5 Na 0.0000 0.0000 0.0000
6 Pb 0.1180 0.4290 0.3253
7 Pb 0.6649 0.6334 0.0361
8 Na 0.5852 0.1925 0.6509
9 Pb 0.3351 0.3666 0.9639


Density functional theory data (GGA-PBE) for a relaxed NaHg2Pb4 crystal.

Results
Space-group type   I4/mmm
D(E_F)   3.32 states/eV/f.u.
Formation energy from the elements   30 meV per atom
Relative energy among the computed polymorphs   79 meV/atom
Electronic total energy   -2.3641 eV/atom

a = 4.5773 Å, b = 4.5773 Å, c = 11.4261 Å
α = 101.55°, β = 101.55°, γ = 90.00°
Fractional positions:
1 Na 0.0000 0.0000 0.0000
2 Pb 0.8590 0.8590 0.7180
3 Pb 0.2500 0.7500 0.5000
4 Hg 0.4191 0.4191 0.8383
5 Hg 0.5809 0.5809 0.1617
6 Pb 0.7500 0.2500 0.5000
7 Pb 0.1410 0.1410 0.2820


Density functional theory data (GGA-PBE) for a relaxed Na2HgPb crystal.

Results
Space-group type   Cmcm
D(E_F)   1.73 states/eV/f.u.
Formation energy from the elements   -134 meV per atom
Electronic total energy   -1.7960 eV/atom

a = 3.3848 Å, b = 5.5122 Å, c = 12.0262 Å
α = 90.00°, β = 98.09°, γ = 90.00°
Fractional positions:
1 Na 0.9642 0.7500 0.9284
2 Na 0.2191 0.7500 0.4381
3 Pb 0.5934 0.7500 0.1869
4 Na 0.0358 0.2500 0.0716
5 Hg 0.8353 0.7500 0.6706
6 Na 0.7809 0.2500 0.5619
7 Pb 0.4066 0.2500 0.8131
8 Hg 0.1647 0.2500 0.3294


Density functional theory data (GGA-PBE) for a relaxed Na2HgPb crystal.

Results
Space-group type   P-3m1
D(E_F)   1.61 states/eV/f.u.
Formation energy from the elements   -141 meV per atom
Electronic total energy   -1.8032 eV/atom

a = 5.2045 Å, b = 5.2045 Å, c = 9.7538 Å
α = 90.00°, β = 90.00°, γ = 60.00°
Fractional positions:
1 Pb 0.0000 0.0000 0.8223
2 Na 0.3333 0.3333 0.4002
3 Hg 0.3333 0.3333 0.7251
4 Pb 0.0000 0.0000 0.1777
5 Na 0.6667 0.6667 0.9456
6 Na 0.6667 0.6667 0.5998
7 Na 0.3333 0.3333 0.0544
8 Hg 0.6667 0.6667 0.2749


Density functional theory data (GGA-PBE) for a relaxed Na2Hg4Pb crystal.

Results
Space-group type   I4/mcm
D(E_F)   3.40 states/eV/f.u.
Formation energy from the elements   -100 meV per atom
Relative energy among the computed polymorphs   34 meV/atom
Electronic total energy   -1.1788 eV/atom

a = 8.0002 Å, b = 8.0002 Å, c = 8.0002 Å
α = 104.14°, β = 112.20°, γ = 112.20°
Fractional positions:
1 Hg 0.5000 0.9824 0.1859
2 Hg 0.5000 0.0176 0.8141
3 Hg 0.2035 0.1859 0.6859
4 Pb 0.0000 0.7500 0.7500
5 Na 0.5000 0.6513 0.8487
6 Pb 0.0000 0.2500 0.2500
7 Na 0.8027 0.1513 0.6513
8 Na 0.5000 0.3487 0.1513
9 Hg 0.7965 0.8141 0.3141
10 Hg 0.5000 0.6859 0.4824
11 Hg 0.2035 0.5176 0.0176
12 Hg 0.5000 0.3141 0.5176
13 Na 0.1973 0.8487 0.3487
14 Hg 0.7965 0.4824 0.9824


Density functional theory data (GGA-PBE) for a relaxed NaHg2Pb2 crystal.

Results
Space-group type   P4/mbm
D(E_F)   1.75 states/eV/f.u.
Formation energy from the elements   -56 meV per atom
Relative energy among the computed polymorphs   43 meV/atom
Electronic total energy   -1.9241 eV/atom

a = 8.5932 Å, b = 8.5932 Å, c = 3.9809 Å
α = 90.00°, β = 90.00°, γ = 90.00°
Fractional positions:
1 Hg 0.3468 0.8468 0.0000
2 Hg 0.6532 0.1532 0.0000
3 Pb 0.3548 0.1452 0.5000
4 Hg 0.1532 0.3468 0.0000
5 Hg 0.8468 0.6532 0.0000
6 Pb 0.1452 0.6452 0.5000
7 Pb 0.8548 0.3548 0.5000
8 Na 0.5000 0.5000 0.0000
9 Na 0.0000 0.0000 0.0000
10 Pb 0.6452 0.8548 0.5000


Density functional theory data (GGA-PBE) for a relaxed NaHg2Pb2 crystal.

Results
Space-group type   I4/mmm
D(E_F)   1.72 states/eV/f.u.
Formation energy from the elements   -51 meV per atom
Relative energy among the computed polymorphs   48 meV/atom
Electronic total energy   -1.9186 eV/atom

a = 4.7593 Å, b = 4.7593 Å, c = 7.7083 Å
α = 72.02°, β = 72.02°, γ = 90.00°
Fractional positions:
1 Pb 0.2500 0.7500 0.5000
2 Hg 0.6000 0.6000 0.7999
3 Hg 0.4000 0.4000 0.2001
4 Na 0.0000 0.0000 0.0000
5 Pb 0.7500 0.2500 0.5000


Density functional theory data (GGA-PBE) for a relaxed Na12HgPb2 crystal.

Results
Space-group type   P4/nbm
D(E_F)   5.51 states/eV/f.u.
Formation energy from the elements   37 meV per atom
Electronic total energy   -1.5332 eV/atom

a = 6.7038 Å, b = 6.7038 Å, c = 23.5023 Å
α = 90.00°, β = 90.00°, γ = 90.00°
Fractional positions:
1 Na 0.2500 0.7500 0.0859
2 Na 0.8201 0.6799 0.4315
3 Na 0.2500 0.2500 0.9141
4 Na 0.3201 0.8201 0.4315
5 Na 0.7500 0.7500 0.9141
6 Hg 0.5000 0.0000 0.0000
7 Na 0.3201 0.1799 0.5685
8 Na 0.1799 0.6799 0.5685
9 Na 0.0000 0.0000 0.8105
10 Pb 0.5000 0.0000 0.7974
11 Na 0.5000 0.5000 0.8105
12 Na 0.5000 0.5000 0.6843
13 Na 0.8201 0.3201 0.5685
14 Pb 0.5000 0.0000 0.2026
15 Hg 0.0000 0.5000 0.0000
16 Pb 0.0000 0.5000 0.7974
17 Na 0.2500 0.2500 0.0859
18 Na 0.5000 0.5000 0.3157
19 Pb 0.0000 0.5000 0.2026
20 Na 0.1799 0.3201 0.4315
21 Na 0.7500 0.2500 0.9141
22 Na 0.0000 0.0000 0.1895
23 Na 0.0000 0.0000 0.3157
24 Na 0.5000 0.5000 0.1895
25 Na 0.7500 0.2500 0.0859
26 Na 0.2500 0.7500 0.9141
27 Na 0.6799 0.1799 0.4315
28 Na 0.6799 0.8201 0.5685
29 Na 0.7500 0.7500 0.0859
30 Na 0.0000 0.0000 0.6843


Density functional theory data (GGA-PBE) for a relaxed NaHg14Pb crystal.

Results
Space-group type   P4/mmm
D(E_F)   4.17 states/eV/f.u.
Formation energy from the elements   -32 meV per atom
Electronic total energy   -0.6105 eV/atom

a = 7.0256 Å, b = 7.0256 Å, c = 8.6692 Å
α = 90.00°, β = 90.00°, γ = 89.99°
Fractional positions:
1 Hg 0.8750 0.3750 0.0000
2 Hg 0.3750 0.3750 0.0000
3 Hg 0.8750 0.3750 0.5000
4 Hg 0.1286 0.1286 0.2462
5 Na 0.3750 0.3750 0.5000
6 Hg 0.3750 0.8750 0.0000
7 Hg 0.3750 0.8750 0.5000
8 Hg 0.6215 0.6215 0.2462
9 Hg 0.1286 0.1286 0.7538
10 Hg 0.6215 0.1285 0.7538
11 Hg 0.1285 0.6215 0.7538
12 Hg 0.1285 0.6215 0.2462
13 Hg 0.8750 0.8750 0.0000
14 Pb 0.8750 0.8750 0.5000
15 Hg 0.6215 0.6215 0.7538
16 Hg 0.6215 0.1285 0.2462


Density functional theory data (GGA-PBE) for a relaxed Na8HgPb3 crystal.

Results
Space-group type   Fmmm
D(E_F)   5.92 states/eV/f.u.
Formation energy from the elements   -108 meV per atom
Electronic total energy   -1.9398 eV/atom

a = 10.9396 Å, b = 9.9095 Å, c = 10.9397 Å
α = 36.72°, β = 116.89°, γ = 143.28°
Fractional positions:
1 Na 0.1575 0.9998 0.3408
2 Na 0.4111 0.5060 0.5889
3 Na 0.8425 0.0002 0.6593
4 Na 0.0950 0.5061 0.9050
5 Pb 0.5000 0.0000 0.5000
6 Na 0.5890 0.4940 0.4111
7 Hg 0.0000 0.0000 0.0000
8 Pb 0.2500 0.5000 0.2500
9 Pb 0.7501 0.5000 0.7501
10 Na 0.3407 0.0002 0.1575
11 Na 0.9050 0.4939 0.0950
12 Na 0.6592 0.9998 0.8425